(one)
Below is crystalline TaAg2Os at its relaxed geometry, with properties calculated at the PBEsol level.

```
TaAg2Os
1.0
2.812 -0.004 0.004
1.402 2.437 0.004
1.418 0.819 9.392
Os Ag Ta
1 2 1
direct
0.502 0.502 0.494
0.000 0.000 0.998
0.751 0.751 0.746
0.247 0.247 0.261
```

Results
The crystal system is monoclinic. The calculation puts the density of states at the Fermi level at 0.92 states/eV per atom. The space group is Cm.

=====

(two)
Below is crystalline TaAg2Os at its relaxed geometry, with properties calculated at the PBEsol level.

```
TaAg2Os
1.0
3.482 0.000 0.000
0.000 3.482 0.000
0.000 0.000 5.334
Os Ag Ta
1 2 1
direct
0.500 0.500 0.000
0.000 0.000 0.753
0.000 0.000 0.247
0.500 0.500 0.500
```

Results
The crystal system is tetragonal. The calculation puts the density of states at the Fermi level at 1.07 states/eV per atom. The space group is P4/mmm.

=====

Among the structures shown above, (one) is the most stable, with the second-best lying 450 meV/atom higher.